(1)
# CeThSbAs

A relaxed CeThSbAs crystal (GGA-PBE, Alexandria via LeMat-Bulk).

Calculated values
Electronic total energy (eV per atom): -6.364

The structure in CIF format:
```
data_CeThSbAs
_cell_length_a 5.1439
_cell_length_b 5.1439
_cell_length_c 33.6681
_cell_angle_alpha 90.00
_cell_angle_beta 90.00
_cell_angle_gamma 120.00
_symmetry_space_group_name_H-M 'R -3 m'
_symmetry_Int_Tables_number 166
_symmetry_space_group_name_Hall '-R 3 2"'
loop_
_atom_site_label
_atom_site_type_symbol
_atom_site_fract_x
_atom_site_fract_y
_atom_site_fract_z
Ce1 Ce 0.0000 0.0000 0.2040
Th1 Th 0.0000 0.0000 0.3803
Sb1 Sb 0.0000 0.0000 0.1043
As1 As 0.0000 0.0000 0.2951
```


(2)
# CeTmSbAs

A relaxed CeTmSbAs crystal (GGA-PBE, Alexandria via LeMat-Bulk).

Calculated values
Electronic total energy (eV per atom): -6.037

The structure in CIF format:
```
data_CeTmSbAs
_cell_length_a 4.2666
_cell_length_b 4.2666
_cell_length_c 21.0603
_cell_angle_alpha 90.00
_cell_angle_beta 90.00
_cell_angle_gamma 120.00
_symmetry_space_group_name_H-M 'R 3 m'
_symmetry_Int_Tables_number 160
_symmetry_space_group_name_Hall 'R 3 -2"'
loop_
_atom_site_label
_atom_site_type_symbol
_atom_site_fract_x
_atom_site_fract_y
_atom_site_fract_z
Ce1 Ce 0.0000 0.0000 0.0000
Tm1 Tm 0.0000 0.0000 0.4881
Sb1 Sb 0.0000 0.0000 0.2411
As1 As 0.0000 0.0000 0.7470
```


(3)
# CeSc3As4

A relaxed CeSc3As4 crystal (GGA-PBE, Alexandria via LeMat-Bulk).

Calculated values
Electronic total energy (eV per atom): -6.794
Energy relative to the elements (meV/atom): -1353

The structure in CIF format:
```
data_CeSc3As4
_cell_length_a 3.9469
_cell_length_b 3.9469
_cell_length_c 26.1037
_cell_angle_alpha 90.00
_cell_angle_beta 90.00
_cell_angle_gamma 120.00
_symmetry_space_group_name_H-M 'P 63/m m c'
_symmetry_Int_Tables_number 194
_symmetry_space_group_name_Hall '-P 6c 2c'
loop_
_atom_site_label
_atom_site_type_symbol
_atom_site_fract_x
_atom_site_fract_y
_atom_site_fract_z
Ce1 Ce 0.3333 0.6667 0.2500
Sc1 Sc 0.0000 0.0000 0.0000
Sc2 Sc 0.3333 0.6667 0.6183
As1 As 0.0000 0.0000 0.1785
As2 As 0.3333 0.6667 0.0597
```


(4)
# CeSc2As3

A relaxed CeSc2As3 crystal (GGA-PBE, Alexandria via LeMat-Bulk).

Calculated values
Electronic total energy (eV per atom): -6.785
Energy relative to the elements (meV/atom): -1360

The structure in CIF format:
```
data_CeSc2As3
_cell_length_a 3.994
_cell_length_b 5.696
_cell_length_c 11.932
_cell_angle_alpha 90.00
_cell_angle_beta 90.00
_cell_angle_gamma 90.00
_symmetry_space_group_name_H-M 'I m m m'
_symmetry_Int_Tables_number 71
_symmetry_space_group_name_Hall '-I 2 2'
loop_
_atom_site_label
_atom_site_type_symbol
_atom_site_fract_x
_atom_site_fract_y
_atom_site_fract_z
Ce1 Ce 0.000 0.000 0.000
Sc1 Sc 0.000 0.000 0.336
As1 As 0.000 0.500 0.000
As2 As 0.000 0.500 0.323
```


(5)
# Ce4ScAs5

A relaxed Ce4ScAs5 crystal (GGA-PBE, Alexandria via LeMat-Bulk).

Calculated values
Electronic total energy (eV per atom): -6.711
Energy relative to the elements (meV/atom): -1380

The structure in CIF format:
```
data_Ce4ScAs5
_cell_length_a 4.170
_cell_length_b 4.170
_cell_length_c 29.270
_cell_angle_alpha 90.00
_cell_angle_beta 90.00
_cell_angle_gamma 90.00
_symmetry_space_group_name_H-M 'I 4/m m m'
_symmetry_Int_Tables_number 139
_symmetry_space_group_name_Hall '-I 4 2'
loop_
_atom_site_label
_atom_site_type_symbol
_atom_site_fract_x
_atom_site_fract_y
_atom_site_fract_z
Ce1 Ce 0.000 0.000 0.098
Ce2 Ce 0.000 0.000 0.301
Sc1 Sc 0.000 0.000 0.500
As1 As 0.000 0.000 0.000
As2 As 0.000 0.000 0.199
As3 As 0.000 0.000 0.405
```


(6)
# CeScAs

A relaxed CeScAs crystal (GGA-PBE, Alexandria via LeMat-Bulk).

Calculated values
Electronic total energy (eV per atom): -6.563
Energy relative to the elements (meV/atom): -925

The structure in CIF format:
```
data_CeScAs
_cell_length_a 4.168
_cell_length_b 4.168
_cell_length_c 8.127
_cell_angle_alpha 90.00
_cell_angle_beta 90.00
_cell_angle_gamma 90.00
_symmetry_space_group_name_H-M 'P 4/n m m'
_symmetry_Int_Tables_number 129
loop_
_symmetry_equiv_pos_as_xyz
'x,y,z'
'-x,-y,-z'
'-y+1/2,x,z'
'y+1/2,-x,-z'
'-x+1/2,-y+1/2,z'
'x+1/2,y+1/2,-z'
'y,-x+1/2,z'
'-y,x+1/2,-z'
'x+1/2,-y,-z'
'-x+1/2,y,z'
'-y,-x,-z'
'y,x,z'
'-x,y+1/2,-z'
'x,-y+1/2,z'
'y+1/2,x+1/2,-z'
'-y+1/2,-x+1/2,z'
loop_
_atom_site_label
_atom_site_type_symbol
_atom_site_fract_x
_atom_site_fract_y
_atom_site_fract_z
Ce1 Ce 0.250 0.250 0.142
Sc1 Sc 0.250 0.750 0.500
As1 As 0.250 0.250 0.747
```


(7)
# CeScAs

A relaxed CeScAs crystal (GGA-PBE, Alexandria via LeMat-Bulk).

Calculated values
Electronic total energy (eV per atom): -6.331
Energy relative to the elements (meV/atom): -693

The structure in CIF format:
```
data_CeScAs
_cell_length_a 3.8581
_cell_length_b 3.8581
_cell_length_c 37.9211
_cell_angle_alpha 90.00
_cell_angle_beta 90.00
_cell_angle_gamma 120.00
_symmetry_space_group_name_H-M 'R -3 m'
_symmetry_Int_Tables_number 166
_symmetry_space_group_name_Hall '-R 3 2"'
loop_
_atom_site_label
_atom_site_type_symbol
_atom_site_fract_x
_atom_site_fract_y
_atom_site_fract_z
Ce1 Ce 0.0000 0.0000 0.2090
Sc1 Sc 0.0000 0.0000 0.3695
As1 As 0.0000 0.0000 0.0753
```


(8)
# CeScAs

A relaxed CeScAs crystal (GGA-PBE, Alexandria via LeMat-Bulk).

Calculated values
Electronic total energy (eV per atom): -6.433
Energy relative to the elements (meV/atom): -795

The structure in CIF format:
```
data_CeScAs
_cell_length_a 4.3946
_cell_length_b 4.3946
_cell_length_c 24.9760
_cell_angle_alpha 90.00
_cell_angle_beta 90.00
_cell_angle_gamma 120.00
_symmetry_space_group_name_H-M 'R -3 m'
_symmetry_Int_Tables_number 166
_symmetry_space_group_name_Hall '-R 3 2"'
loop_
_atom_site_label
_atom_site_type_symbol
_atom_site_fract_x
_atom_site_fract_y
_atom_site_fract_z
Ce1 Ce 0.0000 0.0000 0.1393
Sc1 Sc 0.0000 0.0000 0.2904
As1 As 0.0000 0.0000 0.4036
```


What is the formula in the third record?
CeSc3As4


The highest electronic total energy belongs to which entry?
CeTmSbAs


electronic total energy of number 1 (CeThSbAs)?
-6.364 eV per atom


Number 7 is which compound?
CeScAs